Entry 1:
# MnAl2Tl

A crystal of MnAl2Tl relaxed with PBEsol (meta-GGA SCAN, Alexandria).

a b c (Å): 8.999 2.987 5.200
angles (deg): 90.00 102.06 90.00
Fractional coordinates of all 8 atoms:
Mn 0.000 0.000 0.000
Mn 0.500 0.500 0.000
Al 0.234 0.500 0.204
Al 0.266 0.000 0.796
Al 0.734 0.000 0.204
Al 0.766 0.500 0.796
Tl 0.000 0.500 0.500
Tl 0.500 0.000 0.500

Computed properties:
The value obtained for the density of states at the Fermi level is 2.10 states/eV/f.u. For the formation energy, the calculation gives 0.5 eV per formula unit. As for the space group: C2/m. The total energy comes out at -26.41 eV/atom. The offset from the most stable computed form comes out at 0.13 eV per formula unit.



Entry 2:
# MnAl2Tl

A crystal of MnAl2Tl relaxed with PBEsol (meta-GGA SCAN, Alexandria).

a b c (Å): 9.037 3.022 5.211
angles (deg): 90.00 102.24 90.00
Fractional coordinates of all 8 atoms:
Mn 0.000 0.000 0.000
Mn 0.500 0.500 0.000
Al 0.234 0.500 0.159
Al 0.486 0.000 0.406
Al 0.734 0.000 0.159
Al 0.986 0.500 0.406
Tl 0.249 0.000 0.691
Tl 0.749 0.500 0.691

Computed properties:
The value obtained for the density of states at the Fermi level is 2.00 states/eV/f.u. For the formation energy, the calculation gives 0.5 eV per formula unit. As for the space group: Cm. The total energy comes out at -26.41 eV/atom. The offset from the most stable computed form comes out at 0.12 eV per formula unit.



Entry 3:
# Tm6Mn4Al43

A crystal of Tm6Mn4Al43 relaxed with PBEsol (meta-GGA SCAN, Alexandria).

a b c (Å): 10.734 10.734 17.385
angles (deg): 90.00 90.00 120.00
Fractional coordinates of all 106 atoms:
Tm 0.000 0.468 0.095
Tm 0.000 0.468 0.405
Tm 0.000 0.532 0.595
Tm 0.000 0.532 0.905
Tm 0.468 0.000 0.095
Tm 0.468 0.000 0.405
Tm 0.468 0.468 0.595
Tm 0.468 0.468 0.905
Tm 0.532 0.000 0.595
Tm 0.532 0.000 0.905
Tm 0.532 0.532 0.095
Tm 0.532 0.532 0.405
Mn 0.000 0.000 0.000
Mn 0.000 0.000 0.500
Mn 0.000 0.269 0.250
Mn 0.000 0.731 0.750
Mn 0.269 0.000 0.250
Mn 0.269 0.269 0.750
Mn 0.731 0.000 0.750
Mn 0.731 0.731 0.250
Al 0.000 0.144 0.750
Al 0.000 0.154 0.116
Al 0.000 0.154 0.384
Al 0.000 0.249 0.530
Al 0.000 0.249 0.970
Al 0.000 0.751 0.030
Al 0.000 0.751 0.470
Al 0.000 0.846 0.616
Al 0.000 0.846 0.884
Al 0.000 0.856 0.250
Al 0.144 0.000 0.750
Al 0.144 0.144 0.250
Al 0.145 0.546 0.250
Al 0.145 0.599 0.750
Al 0.154 0.000 0.116
Al 0.154 0.000 0.384
Al 0.154 0.154 0.616
Al 0.154 0.154 0.884
Al 0.157 0.390 0.666
Al 0.157 0.390 0.834
Al 0.157 0.767 0.166
Al 0.157 0.767 0.334
Al 0.233 0.390 0.166
Al 0.233 0.390 0.334
Al 0.233 0.843 0.666
Al 0.233 0.843 0.834
Al 0.247 0.493 0.000
Al 0.247 0.493 0.500
Al 0.247 0.753 0.000
Al 0.247 0.753 0.500
Al 0.249 0.000 0.530
Al 0.249 0.000 0.970
Al 0.249 0.249 0.030
Al 0.249 0.249 0.470
Al 0.333 0.667 0.127
Al 0.333 0.667 0.373
Al 0.333 0.667 0.627
Al 0.333 0.667 0.873
Al 0.390 0.157 0.666
Al 0.390 0.157 0.834
Al 0.390 0.233 0.166
Al 0.390 0.233 0.334
Al 0.401 0.546 0.750
Al 0.401 0.855 0.250
Al 0.454 0.599 0.250
Al 0.454 0.855 0.750
Al 0.493 0.247 0.000
Al 0.493 0.247 0.500
Al 0.507 0.753 0.000
Al 0.507 0.753 0.500
Al 0.546 0.145 0.250
Al 0.546 0.401 0.750
Al 0.599 0.145 0.750
Al 0.599 0.454 0.250
Al 0.610 0.767 0.666
Al 0.610 0.767 0.834
Al 0.610 0.843 0.166
Al 0.610 0.843 0.334
Al 0.667 0.333 0.127
Al 0.667 0.333 0.373
Al 0.667 0.333 0.627
Al 0.667 0.333 0.873
Al 0.751 0.000 0.030
Al 0.751 0.000 0.470
Al 0.751 0.751 0.530
Al 0.751 0.751 0.970
Al 0.753 0.247 0.000
Al 0.753 0.247 0.500
Al 0.753 0.507 0.000
Al 0.753 0.507 0.500
Al 0.767 0.157 0.166
Al 0.767 0.157 0.334
Al 0.767 0.610 0.666
Al 0.767 0.610 0.834
Al 0.843 0.233 0.666
Al 0.843 0.233 0.834
Al 0.843 0.610 0.166
Al 0.843 0.610 0.334
Al 0.846 0.000 0.616
Al 0.846 0.000 0.884
Al 0.846 0.846 0.116
Al 0.846 0.846 0.384
Al 0.855 0.401 0.250
Al 0.855 0.454 0.750
Al 0.856 0.000 0.250
Al 0.856 0.856 0.750

Computed properties:
The value obtained for the density of states at the Fermi level is 20.79 states/eV/f.u. For the formation energy, the calculation gives -16.6 eV per formula unit. As for the space group: P6_3/mcm. The total energy comes out at -13.85 eV/atom.



Entry 4:
# MnAlW2

A crystal of MnAlW2 relaxed with PBEsol (meta-GGA SCAN, Alexandria).

a b c (Å): 3.715 3.715 8.352
angles (deg): 90.00 90.00 90.00
Fractional coordinates of all 8 atoms:
Mn 0.000 0.000 0.000
Mn 0.500 0.500 0.500
Al 0.000 0.000 0.500
Al 0.500 0.500 0.000
W 0.000 0.500 0.250
W 0.000 0.500 0.750
W 0.500 0.000 0.250
W 0.500 0.000 0.750

Computed properties:
The value obtained for the density of states at the Fermi level is 1.53 states/eV/f.u. For the formation energy, the calculation gives -0.2 eV per formula unit. As for the space group: I4/mmm. The total energy comes out at -41.40 eV/atom.



Q: Which formula does entry 4 have?
A: MnAlW2